A geometry-optimized ScTiGaPt structure, computed with PBE.

- E_form (meV per atom) = -700
- E (Ry per atom) = -0.4795
- DOS(E_F) (states/eV/cell) = 4.37

Unit cell a=4.6086 b=4.6086 c=4.6086 alpha=60.00 beta=60.00 gamma=60.00
Closest atoms and distances in Å follow each position.
Positions (direct):
Sc 0.0000 0.0000 0.0000  4 Pt 2.82, 4 Ga 2.82
Ti 0.5000 0.5000 0.5000  4 Pt 2.82, 4 Ga 2.82
Ga 0.2500 0.2500 0.2500  4 Ti 2.82, 4 Sc 2.82
Pt 0.7500 0.7500 0.7500  4 Ti 2.82, 4 Sc 2.82